Material: PmCd3Ag
Method: DFT, GGA-PBE
State: relaxed

Structure (POSCAR):
```
PmCd3Ag
1.0
6.337 -4.896 0.000
6.337 4.896 0.000
-3.689 0.000 7.587
Pm Cd Ag
4 12 4
direct
0.090 0.910 0.750
0.346 0.654 0.250
0.654 0.346 0.750
0.910 0.090 0.250
0.040 0.317 0.052
0.049 0.311 0.697
0.209 0.417 0.466
0.311 0.049 0.197
0.317 0.040 0.552
0.417 0.209 0.966
0.583 0.791 0.034
0.683 0.960 0.448
0.689 0.951 0.803
0.791 0.583 0.534
0.951 0.689 0.303
0.960 0.683 0.948
0.309 0.558 0.857
0.442 0.691 0.643
0.558 0.309 0.357
0.691 0.442 0.143
```

**Distance to the lowest polymorph of the same formula**: 0 meV per atom
**Space group**: C2/c
**DOS at the Fermi energy**: 0.56 states/eV/atom
**Electronic total energy**: -46.09 eV per cell


Material: SrBePt2
Method: DFT, GGA-PBE
State: relaxed

Structure (POSCAR):
```
SrBePt2
1.0
3.282 0.000 0.000
0.000 3.282 0.000
0.000 0.000 6.933
Sr Be Pt
1 1 2
direct
0.000 0.000 0.000
0.500 0.500 0.380
0.000 0.000 0.440
0.500 0.500 0.715
```

**Space group**: P4mm
**DOS at the Fermi energy**: 0.69 states/eV/atom
**Electronic total energy**: -18.61 eV per cell